# 1
Compound: K3GeH2NO3
Source: Alexandria
Functional: GGA-PBEsol
Structure: optimized geometry

Properties
total energy	-5.20	eV/atom
crystal system	triclinic

Cell and atoms, written as CIF:
```
data_K3GeH2NO3
_chemical_formula_sum 'K6 Ge2 H4 N2 O6'
_symmetry_space_group_name_H-M 'P -1'
_symmetry_Int_Tables_number 2
_cell_length_a 6.3358
_cell_length_b 6.6208
_cell_length_c 7.1425
_cell_angle_alpha 97.05
_cell_angle_beta 102.26
_cell_angle_gamma 91.83
loop_
_symmetry_equiv_pos_as_xyz
'x,y,z'
'-x,-y,-z'
loop_
_atom_site_label
_atom_site_fract_x
_atom_site_fract_y
_atom_site_fract_z
K1 0.1484 0.1968 0.4804
K2 0.2156 0.5223 0.8707
K3 0.2628 0.0866 0.0263
Ge1 0.2964 0.7057 0.3125
H1 0.4042 0.9038 0.6388
H2 0.4951 0.6701 0.6417
N1 0.3602 0.7507 0.5881
O1 0.0680 0.8454 0.2383
O2 0.2335 0.4419 0.2423
O3 0.4887 0.2118 0.7881
```

---

# 2
Compound: ZnNiIr2
Source: Alexandria
Functional: GGA-PBEsol
Structure: optimized geometry

Properties
DFT formation energy	-0.072	eV/atom
total energy	-6.92	eV/atom
crystal system	tetragonal

Cell and atoms, written as CIF:
```
data_ZnNiIr2
_chemical_formula_sum 'Zn1 Ni1 Ir2'
_symmetry_space_group_name_H-M 'P 4 m m'
_symmetry_Int_Tables_number 99
_cell_length_a 2.6967
_cell_length_b 2.6967
_cell_length_c 7.1429
_cell_angle_alpha 90.00
_cell_angle_beta 90.00
_cell_angle_gamma 90.00
loop_
_symmetry_equiv_pos_as_xyz
'x,y,z'
'-y,x,z'
'-x,-y,z'
'y,-x,z'
'-x,y,z'
'y,x,z'
'x,-y,z'
'-y,-x,z'
loop_
_atom_site_label
_atom_site_fract_x
_atom_site_fract_y
_atom_site_fract_z
Zn1 0.0000 0.0000 0.0000
Ni1 0.5000 0.5000 0.7678
Ir1 0.0000 0.0000 0.5257
Ir2 0.5000 0.5000 0.2677
```

---

# 3
Compound: La3PtC
Source: Alexandria
Functional: GGA-PBEsol
Structure: optimized geometry

Properties
DFT formation energy	-0.190	eV/atom
total energy	-6.72	eV/atom
crystal system	cubic

Cell and atoms, written as CIF:
```
data_La3PtC
_chemical_formula_sum 'La3 Pt1 C1'
_symmetry_space_group_name_H-M 'P m -3 m'
_symmetry_Int_Tables_number 221
_symmetry_space_group_name_Hall '-P 4 2 3'
_cell_length_a 5.0084
_cell_length_b 5.0084
_cell_length_c 5.0084
_cell_angle_alpha 90.00
_cell_angle_beta 90.00
_cell_angle_gamma 90.00
loop_
_atom_site_label
_atom_site_fract_x
_atom_site_fract_y
_atom_site_fract_z
La1 0.0000 0.0000 0.5000
Pt1 0.5000 0.5000 0.5000
C1 0.0000 0.0000 0.0000
```

---

# 4
Compound: MnCdFe2
Source: Alexandria
Functional: GGA-PBEsol
Structure: optimized geometry

Properties
DFT formation energy	0.427	eV/atom
total energy	-6.79	eV/atom
crystal system	tetragonal

Cell and atoms, written as CIF:
```
data_MnCdFe2
_chemical_formula_sum 'Mn1 Cd1 Fe2'
_symmetry_space_group_name_H-M 'P 4/m m m'
_symmetry_Int_Tables_number 123
_symmetry_space_group_name_Hall '-P 4 2'
_cell_length_a 3.7091
_cell_length_b 3.7091
_cell_length_c 3.9599
_cell_angle_alpha 90.00
_cell_angle_beta 90.00
_cell_angle_gamma 90.00
loop_
_atom_site_label
_atom_site_fract_x
_atom_site_fract_y
_atom_site_fract_z
Mn1 0.0000 0.0000 0.0000
Cd1 0.5000 0.5000 0.0000
Fe1 0.0000 0.5000 0.5000
```

---

# 5
Compound: YP5O14
Source: Alexandria
Functional: GGA-PBEsol
Structure: optimized geometry

Properties
energy relative to the elements, uncorrected	-228	kJ/mol of atoms
total energy	-7.82	eV/atom
crystal system	orthorhombic

Cell and atoms, written as CIF:
```
data_YP5O14
_chemical_formula_sum 'Y4 P20 O56'
_symmetry_space_group_name_H-M 'P n m a'
_symmetry_Int_Tables_number 62
_cell_length_a 8.7293
_cell_length_b 12.7242
_cell_length_c 8.9815
_cell_angle_alpha 90.00
_cell_angle_beta 90.00
_cell_angle_gamma 90.00
loop_
_symmetry_equiv_pos_as_xyz
'x,y,z'
'-x,-y,-z'
'-x+1/2,-y,z+1/2'
'x+1/2,y,-z+1/2'
'x+1/2,-y+1/2,-z+1/2'
'-x+1/2,y+1/2,z+1/2'
'-x,y+1/2,-z'
'x,-y+1/2,z'
loop_
_atom_site_label
_atom_site_fract_x
_atom_site_fract_y
_atom_site_fract_z
Y1 0.0198 0.2500 0.0570
P1 0.0098 0.5825 0.2976
P2 0.0732 0.7500 0.5084
P3 0.2421 0.5691 0.7735
O1 0.0070 0.6365 0.1528
O2 0.0251 0.1530 0.5631
O3 0.0403 0.7500 0.6699
O4 0.1118 0.5070 0.6797
O5 0.1565 0.1186 0.1607
O6 0.1666 0.5300 0.3445
O7 0.1721 0.6285 0.8981
O8 0.2301 0.7500 0.4428
```

---

# 6
Compound: TaTiF2
Source: Alexandria
Functional: GGA-PBEsol
Structure: optimized geometry

Properties
energy relative to the elements, uncorrected	-41	kJ/mol of atoms
total energy	-6.61	eV/atom
crystal system	cubic

Cell and atoms, written as CIF:
```
data_TaTiF2
_chemical_formula_sum 'Ta4 Ti4 F8'
_symmetry_space_group_name_H-M 'F m -3 m'
_symmetry_Int_Tables_number 225
_symmetry_space_group_name_Hall '-F 4 2 3'
_cell_length_a 5.8740
_cell_length_b 5.8740
_cell_length_c 5.8740
_cell_angle_alpha 90.00
_cell_angle_beta 90.00
_cell_angle_gamma 90.00
loop_
_atom_site_label
_atom_site_fract_x
_atom_site_fract_y
_atom_site_fract_z
Ta1 0.0000 0.0000 0.0000
Ti1 0.0000 0.0000 0.5000
F1 0.2500 0.2500 0.2500
```